1.
# Cd3BiPt

A relaxed Cd3BiPt crystal (PBE, the Alexandria database).

Cell and atoms, written as POSCAR:
```
Cd3BiPt
1.0
5.195 0.000 0.000
0.000 5.195 0.000
0.000 0.000 5.195
Cd Bi Pt
3 1 1
Cartesian
0.000 0.000 2.598
0.000 2.598 0.000
2.598 0.000 0.000
2.598 2.598 2.598
0.000 0.000 0.000
```

SG: Pm-3m
N(E_F) (states/eV/atom): 0.563
Energy (eV per formula unit): -12.2


2.
# Sn2SbAs

A relaxed Sn2SbAs crystal (PBE, the Alexandria database).

Cell and atoms, written as POSCAR:
```
Sn2SbAs
1.0
3.597 0.000 0.000
0.000 3.597 0.000
0.000 0.000 7.802
Sn Sb As
2 1 1
Cartesian
0.000 0.000 1.723
0.000 0.000 6.078
1.798 1.798 3.901
1.798 1.798 0.000
```

Uncorrected formation energy (eV/f.u.): 0.55
SG: P4/mmm
N(E_F) (states/eV/atom): 0.402


3.
# BaNd2CuS4

A relaxed BaNd2CuS4 crystal (PBE, the Alexandria database).

Cell and atoms, written as POSCAR:
```
BaNd2CuS4
1.0
2.038 -6.873 0.000
2.038 6.873 0.000
0.000 0.000 14.001
Ba Nd Cu S
2 4 2 8
Cartesian
2.038 5.344 10.501
2.038 -5.344 3.500
2.038 1.783 7.798
2.038 1.783 13.203
2.038 -1.783 0.797
2.038 -1.783 6.203
2.038 4.693 3.500
2.038 -4.693 10.501
0.000 0.000 0.000
0.000 0.000 7.000
2.038 3.188 1.680
2.038 3.188 5.321
2.038 0.928 10.501
2.038 -0.928 3.500
2.038 -3.188 8.680
2.038 -3.188 12.321
```

Uncorrected formation energy (eV/f.u.): -14.01
SG: Cmcm
N(E_F) (states/eV/atom): 0.162


Which of these has the lowest N(E_F)?
BaNd2CuS4